[1]
DFT (PBE) results for a relaxed structure of LiTl8In2.

Cell and atoms, written as extended XYZ:
```
11
Lattice="-1.5663 5.4665 2.2251 1.0369 -0.5715 8.3131 6.6356 2.6118 4.4337" Properties=species:S:1:pos:R:3 pbc="T T T"
Li 0.0000 0.0000 0.0000
Tl 3.3096 5.8649 6.5409
Tl 5.1388 2.9735 6.8081
Tl 0.2879 5.4878 4.9185
Tl 5.8183 2.0190 10.0534
Tl 0.9674 4.5332 8.1638
Tl 2.7966 1.6418 8.4310
Tl 2.1460 2.5557 5.1942
Tl 3.9601 4.9510 9.7777
In 0.1124 3.0991 2.7052
In 5.9938 4.4077 12.2667
```

The mass density is 9.45 g cm⁻³. The formation energy is 0.033 eV/atom. The value obtained for the energy relative to the lowest polymorph listed for this composition is 2.8 kJ per mole of atoms.


[2]
DFT (PBE) results for a relaxed structure of VAgIN2.

Cell and atoms, written as extended XYZ:
```
5
Lattice="-0.6984 3.9034 0.7081 -3.8036 -0.8631 1.0064 1.6365 -0.7175 5.5695" Properties=species:S:1:pos:R:3 pbc="T T T"
I 0.8182 -0.3587 2.7847
N -1.9018 -0.4315 0.5032
N -0.3492 1.9517 0.3540
Ag 0.0000 0.0000 0.0000
V -1.4328 1.1614 3.6420
```

The mass density is 5.49 g cm⁻³. The value obtained for the formation energy (no corrections) is 2.237 eV per atom. The value obtained for the energy relative to the lowest polymorph listed for this composition is 167.7 kJ per mole of atoms.